Ba6PtRh2Cl3, optimized geometry, DFT GGA-PBE; raw total energy = -4.299 eV per atom; space-group type = No. 12; volume = 35.1 Å³/atom
1.0
3.916 -6.784 0.000
3.916 6.784 0.000
-2.611 0.000 7.928
Ba Pt Rh Cl
6 1 2 3
Direct
0.085 0.427 0.780
0.232 0.232 0.221
0.427 0.085 0.780
0.573 0.915 0.220
0.768 0.768 0.779
0.915 0.573 0.220
0.500 0.500 0.000
0.166 0.834 0.000
0.834 0.166 0.000
0.000 0.000 0.500
0.333 0.667 0.500
0.667 0.333 0.500

---

KNa2SrBe, optimized geometry, DFT GGA-PBE; raw total energy = -1.287 eV per atom; space-group type = No. 123; volume = 41.7 Å³/atom
1.0
5.823 0.000 0.000
0.000 5.823 0.000
0.000 0.000 6.149
K Na Sr Be
1 2 1 1
Direct
0.000 0.000 0.000
0.000 0.500 0.500
0.500 0.000 0.500
0.500 0.500 0.000
0.000 0.000 0.500

---

LaBi2I, optimized geometry, DFT GGA-PBE; raw total energy = -4.109 eV per atom; space-group type = No. 122; offset from the most stable computed form = 0.0 kJ/mol of formula units; volume = 35.9 Å³/atom
1.0
-2.363 2.363 12.873
2.363 -2.363 12.873
2.363 2.363 -12.873
La Bi I
2 4 2
Direct
0.000 0.000 0.000
0.750 0.250 0.500
0.083 0.625 0.958
0.375 0.333 0.458
0.667 0.125 0.042
0.875 0.917 0.542
0.250 0.750 0.500
0.500 0.500 0.000

---

Hf4Al, optimized geometry, DFT GGA-PBE; raw total energy = -8.753 eV per atom; space-group type = No. 74; offset from the most stable computed form = 0.0 kJ/mol of formula units; volume = 20.8 Å³/atom
1.0
-2.370 3.000 7.324
2.370 -3.000 7.324
2.370 3.000 -7.324
Hf Al
8 2
Direct
0.000 0.000 0.000
0.150 0.400 0.750
0.198 0.197 0.001
0.303 0.803 0.501
0.500 0.000 0.500
0.697 0.197 0.499
0.802 0.803 0.999
0.850 0.600 0.250
0.360 0.610 0.750
0.640 0.390 0.250

---

LiDyHoIr, optimized geometry, DFT GGA-PBE; raw total energy = -5.572 eV per atom; space-group type = No. 216; volume = 20.8 Å³/atom
1.0
0.000 3.466 3.466
3.466 0.000 3.466
3.466 3.466 0.000
Li Dy Ho Ir
1 1 1 1
Direct
0.000 0.000 0.000
0.250 0.250 0.250
0.750 0.750 0.750
0.500 0.500 0.500

---

YHoS2, optimized geometry, DFT GGA-PBE; raw total energy = -6.703 eV per atom; space-group type = No. 164; offset from the most stable computed form = 41.9 kJ/mol of formula units; volume = 21.5 Å³/atom
1.0
3.757 0.000 0.000
-1.879 3.254 0.000
0.000 0.000 7.030
Y Ho S
1 1 2
Direct
0.000 0.000 0.000
0.000 0.000 0.500
0.333 0.667 0.253
0.667 0.333 0.747

---

Pm3HfAs4, optimized geometry, DFT GGA-PBE; raw total energy = -6.727 eV per atom; space-group type = No. 65; volume = 24.8 Å³/atom
1.0
4.137 -5.826 0.000
4.137 5.826 0.000
0.000 0.000 4.122
Pm Hf As
3 1 4
Direct
0.000 0.000 0.000
0.000 0.500 0.500
0.500 0.000 0.500
0.500 0.500 0.000
0.260 0.740 0.000
0.269 0.269 0.500
0.731 0.731 0.500
0.740 0.260 0.000

---

RbDyTe, optimized geometry, DFT GGA-PBE; raw total energy = -3.633 eV per atom; space-group type = No. 129; volume = 38.3 Å³/atom
1.0
4.792 0.000 0.000
0.000 4.792 0.000
0.000 0.000 10.006
Rb Dy Te
2 2 2
Direct
0.250 0.250 0.145
0.750 0.750 0.855
0.250 0.750 0.500
0.750 0.250 0.500
0.250 0.250 0.716
0.750 0.750 0.284

---

BeB2Pb2O6, optimized geometry, DFT GGA-PBE; raw total energy = -6.828 eV per atom; space-group type = No. 12; volume = 12.4 Å³/atom
1.0
5.325 -2.416 0.000
5.325 2.416 0.000
-3.208 0.000 5.319
Be B Pb O
1 2 2 6
Direct
0.000 0.000 0.000
0.498 0.498 0.216
0.502 0.502 0.784
0.200 0.200 0.704
0.800 0.800 0.296
0.181 0.675 0.765
0.325 0.819 0.235
0.358 0.358 0.176
0.642 0.642 0.824
0.675 0.181 0.765
0.819 0.325 0.235

---

BeHRh2, optimized geometry, DFT GGA-PBE; raw total energy = -5.655 eV per atom; space-group type = No. 160; offset from the most stable computed form = 0.0 kJ/mol of formula units; volume = 9.8 Å³/atom
1.0
1.393 0.804 5.840
-1.393 0.804 5.840
0.000 -1.608 5.840
Be H Rh
1 1 2
Direct
0.000 0.000 0.000
0.164 0.164 0.164
0.571 0.571 0.571
0.763 0.763 0.763

---

BaCu3As2, optimized geometry, DFT GGA-PBE; raw total energy = -4.345 eV per atom; space-group type = No. 12; offset from the most stable computed form = 0.0 kJ/mol of formula units; volume = 19.7 Å³/atom
1.0
7.910 -2.070 0.000
7.910 2.070 0.000
-3.114 0.000 7.227
Ba Cu As
2 6 4
Direct
0.142 0.142 0.059
0.858 0.858 0.941
0.048 0.048 0.400
0.309 0.309 0.544
0.412 0.412 0.372
0.588 0.588 0.628
0.691 0.691 0.456
0.952 0.952 0.600
0.193 0.193 0.678
0.476 0.476 0.774
0.524 0.524 0.226
0.807 0.807 0.322

---

TmZrPt4, optimized geometry, DFT GGA-PBE; raw total energy = -7.146 eV per atom; space-group type = No. 216; volume = 18.2 Å³/atom
1.0
0.000 3.795 3.795
3.795 0.000 3.795
3.795 3.795 0.000
Tm Zr Pt
1 1 4
Direct
0.000 0.000 0.000
0.750 0.750 0.750
0.375 0.375 0.375
0.375 0.375 0.875
0.375 0.875 0.375
0.875 0.375 0.375